CsCaMnO4 after structural relaxation. Source: Alexandria via LeMat-Bulk, functional PBE+U.

## Properties
The calculation puts the total energy at -6.0019 eV per atom. As for the crystal system: cubic.

a b c (Å): 6.3333 6.3333 6.3333
angles (deg): 60.00 60.00 60.00
Site moments in Bohr magnetons follow the coordinates.
Positions (direct):
O 0.3603 0.9191 0.3603  -0.01
O 0.9191 0.3603 0.3603  -0.01
O 0.3603 0.3603 0.3603  -0.01
O 0.3603 0.3603 0.9191  -0.01
Cs 0.7500 0.7500 0.7500  0.00
Ca 0.5000 0.5000 0.5000  0.00
Mn 0.2500 0.2500 0.2500  1.93